No. 1
This record from Alexandria describes Ca3BO after structural relaxation. The functional is GGA-PBE.

Values from the calculation:
* crystal system: cubic
* electronic total energy: -4.33 eV/atom
* ΔE_f (raw): -0.798 eV per atom

a b c (Å): 4.638 4.638 4.638
angles (deg): 90.00 90.00 90.00
Positions (direct):
Ca1 0.000 0.000 0.500
Ca2 0.000 0.500 0.000
Ca3 0.500 0.000 0.000
B1 0.500 0.500 0.500
O1 0.000 0.000 0.000

---

No. 2
This record from Alexandria describes Ca2B2O5 after structural relaxation. The functional is GGA-PBE.

Values from the calculation:
* crystal system: triclinic
* electronic total energy: -7.51 eV/atom
* ΔE_f (raw): -2.825 eV per atom

a b c (Å): 3.632 5.269 6.367
angles (deg): 67.87 86.31 88.77
Positions (direct):
Ca1 0.246 0.246 0.242
Ca2 0.754 0.754 0.758
B1 0.188 0.313 0.687
B2 0.812 0.687 0.313
O1 0.000 0.500 0.500
O2 0.257 0.061 0.680
O3 0.274 0.413 0.847
O4 0.726 0.587 0.153
O5 0.743 0.939 0.320

---

No. 3
This record from Alexandria describes Ca3BO4 after structural relaxation. The functional is GGA-PBE.

Values from the calculation:
* crystal system: orthorhombic
* electronic total energy: -6.52 eV/atom
* ΔE_f (raw): -2.455 eV per atom

a b c (Å): 6.991 6.293 5.093
angles (deg): 90.00 90.00 90.00
Positions (direct):
Ca1 0.000 0.140 0.000
Ca2 0.250 0.339 0.505
Ca3 0.250 0.661 0.005
Ca4 0.500 0.860 0.500
Ca5 0.750 0.339 0.505
Ca6 0.750 0.661 0.005
B1 0.000 0.835 0.465
B2 0.500 0.165 0.965
O1 0.000 0.076 0.542
O2 0.000 0.826 0.171
O3 0.181 0.724 0.558
O4 0.319 0.276 0.058
O5 0.500 0.174 0.671
O6 0.500 0.924 0.042
O7 0.681 0.276 0.058
O8 0.819 0.724 0.558

---

No. 4
This record from Alexandria describes Ca3B2O6 after structural relaxation. The functional is GGA-PBE.

Values from the calculation:
* crystal system: tetragonal
* electronic total energy: -6.73 eV/atom
* ΔE_f (raw): -2.270 eV per atom

a b c (Å): 9.535 9.535 9.535
angles (deg): 158.85 158.85 30.08
Positions (direct):
Ca1 0.000 0.000 0.000
Ca2 0.177 0.177 0.000
Ca3 0.823 0.823 0.000
B1 0.385 0.385 0.000
B2 0.615 0.615 0.000
O1 0.089 0.589 0.500
O2 0.308 0.308 0.000
O3 0.411 0.911 0.500
O4 0.589 0.089 0.500
O5 0.692 0.692 0.000
O6 0.911 0.411 0.500

---

No. 5
This record from Alexandria describes Ca2B2O5 after structural relaxation. The functional is GGA-PBE.

Values from the calculation:
* crystal system: orthorhombic
* electronic total energy: -7.34 eV/atom
* ΔE_f (raw): -2.659 eV per atom

a b c (Å): 8.650 8.650 8.650
angles (deg): 58.45 144.96 134.78
Positions (direct):
Ca1 0.032 0.131 0.163
Ca2 0.032 0.369 0.401
Ca3 0.968 0.631 0.599
Ca4 0.968 0.869 0.837
B1 0.337 0.616 0.221
B2 0.395 0.116 0.779
B3 0.490 0.490 0.000
B4 0.490 0.990 0.500
O1 0.155 0.685 0.971
O2 0.226 0.157 0.729
O3 0.226 0.997 0.569
O4 0.260 0.511 0.770
O5 0.260 0.990 0.249
O6 0.428 0.497 0.271
O7 0.428 0.657 0.431
O8 0.714 0.185 0.029
O9 0.742 0.011 0.751
O10 0.742 0.490 0.230

---

No. 6
This record from Alexandria describes CaB2O10 after structural relaxation. The functional is GGA-PBE.

Values from the calculation:
* crystal system: monoclinic
* electronic total energy: -5.99 eV/atom
* ΔE_f (raw): -0.993 eV per atom

a b c (Å): 6.078 4.858 10.454
angles (deg): 90.00 90.68 90.00
Positions (direct):
Ca1 0.000 0.219 0.250
Ca2 0.000 0.781 0.750
B1 0.246 0.166 0.567
B2 0.246 0.834 0.067
B3 0.754 0.166 0.933
B4 0.754 0.834 0.433
O1 0.009 0.179 0.596
O2 0.009 0.821 0.096
O3 0.175 0.390 0.651
O4 0.175 0.610 0.151
O5 0.296 0.204 0.435
O6 0.296 0.796 0.935
O7 0.364 0.039 0.144
O8 0.364 0.961 0.644
O9 0.465 0.258 0.072
O10 0.465 0.742 0.572
O11 0.535 0.258 0.428
O12 0.535 0.742 0.928
O13 0.636 0.039 0.356
O14 0.636 0.961 0.856
O15 0.704 0.204 0.065
O16 0.704 0.796 0.565
O17 0.825 0.390 0.849
O18 0.825 0.610 0.349
O19 0.991 0.179 0.904
O20 0.991 0.821 0.404

---

no.,spin magnetization (μB/cell)
1,0.731
2,0.000
3,1.988
4,0.000
5,0.000
6,0.000